# 1
4
Lattice="-2.570 2.885 2.980 -2.438 -3.885 1.658 3.052 -0.561 3.175" Properties=species:S:1:pos:R:3 comment="SrAlHg2 PBE relaxed" delta_e_f_ev_per_atom=-0.18 pbc="T T T"
Hg -2.504 -0.500 2.319
Hg 0.000 0.000 0.000
Al 0.307 -2.223 2.416
Sr 0.241 1.162 3.078



# 2
8
Lattice="4.322 0.000 0.000 0.000 7.621 -0.202 0.000 2.632 7.028" Properties=species:S:1:pos:R:3 comment="Ce4SnTeAs2 PBE relaxed" e_tot_ev_per_atom=-6.211 pbc="T T T"
Ce 4.322 2.421 1.776
Ce 2.161 6.511 1.561
Ce 0.000 7.831 5.051
Ce 2.161 3.742 5.265
Sn 0.000 5.126 3.413
As 2.161 1.316 3.514
As 0.000 2.632 7.028
Te 2.161 3.810 -0.101



# 3
10
Lattice="-7.606 -0.361 0.600 0.377 -7.626 0.202 0.266 0.104 3.443" Properties=species:S:1:pos:R:3 comment="LaGa2Si2 PBE relaxed" e_tot_ev_per_atom=-4.491 pbc="T T T"
La -3.614 -3.993 0.401
La 0.000 0.000 0.000
Si -6.136 -2.853 2.295
Si -2.402 -1.282 1.958
Si -4.561 -6.600 2.287
Si -0.826 -5.030 1.950
Ga -0.786 -2.926 0.150
Ga -6.443 -5.061 0.652
Ga -4.686 -1.155 0.398
Ga -2.543 -6.831 0.404



# 4
4
Lattice="4.251 0.000 0.000 2.126 3.682 0.000 2.126 1.227 3.471" Properties=species:S:1:pos:R:3 comment="CrFeRuRh PBE relaxed" delta_e_f_ev_per_atom=0.11 pbc="T T T"
Fe 4.251 2.454 1.736
Cr 0.000 0.000 0.000
Ru 2.126 1.227 0.868
Rh 6.377 3.682 2.603



# 5
10
Lattice="-2.396 -0.983 -3.485 -6.715 -2.630 5.358 -2.358 9.106 -0.949" Properties=species:S:1:pos:R:3 comment="SrSbTe3 PBE relaxed" e_above_lowest_polymorph_mev_per_atom=0 pbc="T T T"
Te -8.424 3.504 3.450
Te -4.629 4.103 0.673
Te -3.044 1.989 -2.525
Te -5.081 -1.500 2.564
Te -6.387 6.994 -1.639
Te -6.839 1.391 0.252
Sr -8.043 4.571 0.183
Sr -3.425 0.922 0.742
Sb -6.980 0.805 3.219
Sb -4.488 4.689 -2.295



# 6
8
Lattice="-3.258 -1.218 -1.343 2.278 -0.882 -4.726 3.043 -9.261 6.188" Properties=species:S:1:pos:R:3 comment="Tb2Ho3Cd3 PBE relaxed" delta_e_f_ev_per_atom=-0.23 pbc="T T T"
Tb -0.438 -5.418 0.800
Tb 2.501 -5.942 -0.680
Ho -1.629 -0.609 -0.672
Ho 0.135 -3.577 -2.262
Ho 1.927 -7.783 2.381
Cd 1.139 -0.441 -2.363
Cd 1.470 -8.966 -0.613
Cd 0.593 -2.394 0.732